No. 1
{"formula": "Sc2HPd", "functional": "PBE", "state": "relaxed", "vol_a3_per_cell": 88.36, "de_polymorph_ev_per_atom": 0.233, "space_group": "No. 166", "dos_ef_per_ev_cell": 4.40, "cell": [[1.975, 1.140, 6.540], [-1.975, 1.140, 6.540], [0.000, -2.280, 6.540]], "species": ["Sc", "Sc", "H", "Pd"], "fractional_positions": [[0.097, 0.097, 0.097], [0.903, 0.903, 0.903], [0.000, 0.000, 0.000], [0.500, 0.500, 0.500]]}



No. 2
{"formula": "LaAs3F", "functional": "PBE", "state": "relaxed", "vol_a3_per_cell": 102.76, "de_polymorph_ev_per_atom": 0.000, "raw_formation_energy_ev_per_atom": -0.68, "space_group": "No. 221", "dos_ef_per_ev_cell": 2.92, "cell": [[4.684, 0.000, 0.000], [0.000, 4.684, 0.000], [0.000, 0.000, 4.684]], "species": ["La", "As", "As", "As", "F"], "fractional_positions": [[0.000, 0.000, 0.000], [0.000, 0.500, 0.500], [0.500, 0.000, 0.500], [0.500, 0.500, 0.000], [0.500, 0.500, 0.500]]}



No. 3
{"formula": "Sm4MgZn", "functional": "PBE", "state": "relaxed", "vol_a3_per_cell": 197.01, "de_polymorph_ev_per_atom": 0.321, "e_form_ev_per_atom": 0.200, "space_group": "No. 123", "dos_ef_per_ev_cell": 9.96, "cell": [[4.991, 0.000, 0.000], [0.000, 4.991, 0.000], [0.000, 0.000, 7.908]], "species": ["Sm", "Sm", "Sm", "Sm", "Mg", "Zn"], "fractional_positions": [[0.000, 0.500, 0.223], [0.000, 0.500, 0.777], [0.500, 0.000, 0.223], [0.500, 0.000, 0.777], [0.000, 0.000, 0.500], [0.500, 0.500, 0.000]]}